Here is crystalline LiNiPtF6 at its relaxed geometry from Alexandria via LeMat-Bulk. Energies are from PBE with a Hubbard U.

The structure belongs to space group P4_2nm (No. 102); the cell edges are 4.6814, 4.6814 and 9.7929 Å and the angles 90.00°, 90.00° and 90.00°. The inequivalent atoms are Li at (0.0000, 0.0000, 0.0000), Ni at (0.0000, 0.0000, 0.6593), Pt at (0.0000, 0.0000, 0.3279), F at (0.1981, 0.1981, 0.5019), F at (0.1989, 0.1989, 0.8265) and F at (0.1999, 0.1999, 0.1558).

The density comes out at 5.8 Mg/m³. The calculation puts the energy at -77.16 eV per cell. As for the density of states at the Fermi level: 1.2 states/eV/f.u.